[1]
VASP calculation (GGA-PBE) on crystalline SrAl3Zn3 at its relaxed geometry.

Cell lengths 7.0560, 7.0560, 7.0560 Å; angles 90.00, 90.00, 90.00 degrees
Atoms (fractional coordinates):
Zn: 0.0000 0.5000 0.7500
Zn: 0.2500 0.0000 0.5000
Zn: 0.7500 0.0000 0.5000
Zn: 0.5000 0.7500 0.0000
Zn: 0.5000 0.2500 0.0000
Zn: 0.0000 0.5000 0.2500
Al: 0.5000 0.0000 0.2500
Al: 0.0000 0.2500 0.5000
Al: 0.2500 0.5000 0.0000
Al: 0.7500 0.5000 0.0000
Al: 0.0000 0.7500 0.5000
Al: 0.5000 0.0000 0.7500
Sr: 0.5000 0.5000 0.5000
Sr: 0.0000 0.0000 0.0000

Calculated values
V = 25.1 Å³/atom
Polymorph energy (0 for the lowest one) = 308 meV/atom
E_form = 175 meV/atom

---

[2]
VASP calculation (GGA-PBE) on crystalline SrAl3Zn3 at its relaxed geometry.

Cell lengths 4.5114, 7.3568, 9.1233 Å; angles 110.19, 90.00, 90.00 degrees
Atoms (fractional coordinates):
Sr: 0.2500 0.5614 0.2164
Sr: 0.7500 0.4386 0.7836
Al: 0.7500 0.2696 0.3277
Al: 0.2500 0.0436 0.2750
Al: 0.2500 0.1383 0.8863
Al: 0.7500 0.8617 0.1137
Al: 0.7500 0.9564 0.7250
Al: 0.2500 0.7304 0.6723
Zn: 0.2500 0.8052 0.9680
Zn: 0.7500 0.1948 0.0320
Zn: 0.7500 0.9315 0.4161
Zn: 0.7500 0.6248 0.4997
Zn: 0.2500 0.3752 0.5003
Zn: 0.2500 0.0685 0.5839

Calculated values
V = 20.3 Å³/atom
Polymorph energy (0 for the lowest one) = 0 meV/atom
E_form = -134 meV/atom

---

[3]
VASP calculation (GGA-PBE) on crystalline Sr2AlZn at its relaxed geometry.

Cell lengths 3.9490, 3.9107, 8.8041 Å; angles 63.72, 90.00, 90.00 degrees
Atoms (fractional coordinates):
Al: 0.5000 0.7500 0.7500
Sr: 0.0000 0.5009 0.4984
Sr: 0.0000 0.9991 0.0016
Zn: 0.5000 0.2500 0.2500

Calculated values
V = 30.5 Å³/atom
E_form = -134 meV/atom

---

[4]
VASP calculation (GGA-PBE) on crystalline SrAl3Zn2 at its relaxed geometry.

Cell lengths 4.5021, 7.0559, 8.5108 Å; angles 110.14, 105.34, 90.00 degrees
Atoms (fractional coordinates):
Sr: 0.8820 0.8183 0.7639
Sr: 0.1180 0.1817 0.2361
Al: 0.3070 0.0841 0.6141
Al: 0.6930 0.9159 0.3859
Al: 0.3599 0.4845 0.7198
Al: 0.0710 0.6716 0.1420
Al: 0.9290 0.3284 0.8580
Al: 0.6401 0.5155 0.2802
Zn: 0.5189 0.8103 0.0378
Zn: 0.2343 0.6820 0.4686
Zn: 0.7657 0.3180 0.5314
Zn: 0.4811 0.1897 0.9622

Calculated values
V = 20.3 Å³/atom
E_form = -131 meV/atom

---

[5]
VASP calculation (GGA-PBE) on crystalline SrAl3Zn4 at its relaxed geometry.

Cell lengths 4.4988, 4.4988, 8.0140 Å; angles 90.00, 90.00, 90.00 degrees
Atoms (fractional coordinates):
Zn: 0.0000 0.5000 0.8269
Zn: 0.5000 0.0000 0.8269
Zn: 0.5000 0.0000 0.1731
Zn: 0.0000 0.5000 0.1731
Al: 0.5000 0.5000 0.6632
Al: 0.5000 0.5000 0.3368
Al: 0.0000 0.0000 0.0000
Sr: 0.0000 0.0000 0.5000

Calculated values
V = 20.3 Å³/atom
E_form = -99 meV/atom

---

[6]
VASP calculation (GGA-PBE) on crystalline Sr2AlZn at its relaxed geometry.

Cell lengths 8.7471, 8.7471, 7.1933 Å; angles 52.55, 52.55, 90.00 degrees
Atoms (fractional coordinates):
Zn: 0.0000 0.0000 0.0000
Zn: 0.7500 0.2500 0.5000
Sr: 0.3750 0.3621 0.7500
Sr: 0.8750 0.8879 0.7500
Sr: 0.6379 0.1250 0.2500
Sr: 0.1121 0.6250 0.2500
Al: 0.2500 0.7500 0.5000
Al: 0.5000 0.5000 0.0000

Calculated values
V = 35.1 Å³/atom
E_form = 203 meV/atom

---

[7]
VASP calculation (GGA-PBE) on crystalline Sr2AlZn2 at its relaxed geometry.

Cell lengths 4.6457, 6.2924, 10.4298 Å; angles 83.54, 77.13, 68.34 degrees
Atoms (fractional coordinates):
Sr: 0.5098 0.3181 0.6622
Sr: 0.4902 0.6819 0.3378
Sr: 0.6978 0.7169 0.8874
Sr: 0.3022 0.2831 0.1126
Al: 0.2252 0.9057 0.6439
Al: 0.7748 0.0943 0.3561
Zn: 0.0011 0.1150 0.8828
Zn: 0.8499 0.7412 0.5589
Zn: 0.9989 0.8850 0.1172
Zn: 0.1501 0.2588 0.4411

Calculated values
V = 27.6 Å³/atom
E_form = -225 meV/atom

---

[8]
VASP calculation (GGA-PBE) on crystalline Sr5AlZn2 at its relaxed geometry.

Cell lengths 8.2955, 8.2955, 10.3348 Å; angles 113.66, 113.66, 90.00 degrees
Atoms (fractional coordinates):
Sr: 0.4688 0.3266 0.2954
Sr: 0.9688 0.4688 0.2954
Sr: 0.5000 0.5000 0.0000
Sr: 0.3266 0.8266 0.2954
Sr: 0.0000 0.0000 0.0000
Sr: 0.0312 0.5312 0.7046
Sr: 0.6734 0.1734 0.7046
Sr: 0.5312 0.6734 0.7046
Sr: 0.8266 0.9688 0.2954
Sr: 0.1734 0.0312 0.7046
Zn: 0.1072 0.3928 0.0000
Zn: 0.8928 0.6072 0.0000
Zn: 0.3928 0.8928 0.0000
Zn: 0.6072 0.1072 0.0000
Al: 0.7500 0.7500 0.5000
Al: 0.2500 0.2500 0.5000

Calculated values
V = 36.6 Å³/atom
E_form = -139 meV/atom

---

Calculated total DFT energy (no corrections) (eV/atom), listed in the same order as above: -2.2157; -2.5241; -2.2293; -2.7070; -2.3498; -1.8921; -2.1563; -1.9760
Calculated total moment (μB per formula unit), listed in the same order as above: 0.00; 0.00; 0.00; 0.00; 0.00; 0.00; 0.00; 0.00